1.
Below is an optimized crystal structure of ScBe2Br, with properties calculated at the PBE-GGA level.

Cell lengths 3.161, 4.262, 4.961 Å; angles 90.00, 90.00, 90.00 degrees
Fractional positions:
Be  0.000  0.000  0.000
Br  0.500  0.000  0.500
Be  0.500  0.500  0.000
Sc  0.000  0.500  0.500

***

2.
Below is an optimized crystal structure of ScBe2Br, with properties calculated at the PBE-GGA level.

Cell lengths 7.902, 7.902, 7.902 Å; angles 24.01, 24.01, 24.01 degrees
Fractional positions:
Be  0.994  0.994  0.994
Sc  0.750  0.750  0.750
Be  0.506  0.506  0.506
Br  0.250  0.250  0.250

***

3.
Below is an optimized crystal structure of ScBe2Br, with properties calculated at the PBE-GGA level.

Cell lengths 3.098, 3.098, 8.067 Å; angles 90.00, 90.00, 90.00 degrees
Site moments in Bohr magnetons follow the coordinates.
Fractional positions:
Sc  0.500  0.500  0.783  0.34
Be  0.000  0.000  0.027  0.00
Br  0.000  0.000  0.572  0.00
Be  0.500  0.500  0.118  0.00

***

4.
Below is an optimized crystal structure of ScBe2Br, with properties calculated at the PBE-GGA level.

Cell lengths 3.672, 3.451, 5.621 Å; angles 89.98, 90.00, 90.00 degrees
Fractional positions:
Br  0.500  0.250  0.250
Be  0.000  0.250  0.568
Sc  0.500  0.750  0.750
Be  0.000  0.250  0.932

***

Which of them is the most stable? Correct choice: 3.

***

1.
Below is an optimized crystal structure of ScBe2Br, with properties calculated at the PBE-GGA level.

Cell lengths 3.779, 3.779, 6.126 Å; angles 90.98, 90.98, 56.40 degrees
Fractional positions:
Br  0.623  0.623  0.481
Be  0.952  0.952  0.934
Be  0.632  0.632  0.901
Sc  0.293  0.293  0.184

***

2.
Below is an optimized crystal structure of ScBe2Br, with properties calculated at the PBE-GGA level.

Cell lengths 4.134, 4.134, 3.783 Å; angles 90.00, 90.00, 90.00 degrees
Fractional positions:
Br  0.500  0.000  0.500
Be  0.500  0.500  0.000
Sc  0.000  0.500  0.500
Be  0.000  0.000  0.000

***

3.
Below is an optimized crystal structure of ScBe2Br, with properties calculated at the PBE-GGA level.

Cell lengths 3.940, 3.206, 5.956 Å; angles 89.82, 90.00, 90.00 degrees
Fractional positions:
Br  0.000  0.252  0.540
Be  0.500  0.249  0.126
Be  0.000  0.248  0.030
Sc  0.500  0.751  0.804

***

4.
Below is an optimized crystal structure of ScBe2Br, with properties calculated at the PBE-GGA level.

Cell lengths 7.281, 7.281, 5.759 Å; angles 50.79, 50.79, 90.00 degrees
Fractional positions:
Sc  0.500  0.500  0.000
Be  0.103  0.625  0.250
Br  0.000  0.000  0.000
Be  0.647  0.125  0.250
Sc  0.250  0.750  0.500
Be  0.875  0.897  0.750
Br  0.750  0.250  0.500
Be  0.375  0.353  0.750

***

Which of them is the most stable? Correct choice: 1.

***

1.
Below is an optimized crystal structure of ScBe2Br, with properties calculated at the PBE-GGA level.

Cell lengths 4.570, 4.570, 4.570 Å; angles 60.00, 60.00, 60.00 degrees
Fractional positions:
Br  0.500  0.500  0.500
Be  0.250  0.250  0.250
Be  0.750  0.750  0.750
Sc  0.000  0.000  0.000

***

2.
Below is an optimized crystal structure of ScBe2Br, with properties calculated at the PBE-GGA level.

Cell lengths 4.984, 4.984, 4.984 Å; angles 134.06, 134.06, 67.00 degrees
Fractional positions:
Br  0.500  0.500  0.000
Be  0.250  0.750  0.500
Be  0.000  0.000  0.000
Sc  0.750  0.250  0.500

***

3.
Below is an optimized crystal structure of ScBe2Br, with properties calculated at the PBE-GGA level.

Cell lengths 3.202, 3.202, 7.086 Å; angles 90.00, 90.00, 104.78 degrees
Fractional positions:
Be  0.000  0.000  0.502
Br  0.500  0.500  0.250
Be  0.000  0.000  0.998
Sc  0.500  0.500  0.750

***

Which of them is the most stable? Correct choice: 2.